1.
Computed, not measured: a relaxed structure of BaLiCoMo at the PBE level of DFT.

Lattice parameters (Å, degrees): 6.8709 6.8709 6.8709 90.00 90.00 90.00
With the nearest neighbours (Å) after each atom.
Space group F-43m (No. 216)
One atom of each set of equivalent atoms:
1 Ba 0.0000 0.0000 0.0000 x4  4 Mo 2.98, 4 Co 2.98
2 Li 0.0000 0.0000 0.5000 x4  4 Mo 2.98, 4 Co 2.98
3 Co 0.2500 0.2500 0.7500 x4  4 Ba 2.98, 4 Li 2.98
4 Mo 0.2500 0.2500 0.2500 x4  4 Ba 2.98, 4 Li 2.98

energy above the most stable polymorph in this dataset	0.275	eV/atom
energy	-4.153	eV/atom



2.
Computed, not measured: a relaxed structure of LiPmHf at the PBE level of DFT.

Lattice parameters (Å, degrees): 6.8480 6.8480 6.8480 90.00 90.00 90.00
With the nearest neighbours (Å) after each atom.
Space group F-43m (No. 216)
One atom of each set of equivalent atoms:
1 Li 0.0000 0.0000 0.0000 x4  4 Pm 2.97
2 Pm 0.2500 0.2500 0.7500 x4  4 Hf 2.97, 4 Li 2.97
3 Hf 0.0000 0.0000 0.5000 x4  4 Pm 2.97

energy	-4.334	eV/atom